# Ba3NdFe2O9, relaxed, DFT GGA+U
# Space group = P-3m1 (164)
# Total magnetic moment = 7.45 μB per cell
# Uncorrected energy = -6.5263 eV/atom
# Calculated volume = 14.66 Å³/atom
data_Ba3NdFe2O9
_space_group_name_H-M_alt 'P 1'
_space_group_IT_number 1
_cell_length_a 5.894
_cell_length_b 5.894
_cell_length_c 7.310
_cell_angle_alpha 90.00
_cell_angle_beta 90.00
_cell_angle_gamma 120.00
loop_
_space_group_symop_operation_xyz
'x,y,z'
loop_
_atom_site_label
_atom_site_type_symbol
_atom_site_fract_x
_atom_site_fract_y
_atom_site_fract_z
Ba1 Ba 0.333 0.667 0.688
Ba2 Ba 0.000 0.000 0.000
Ba3 Ba 0.667 0.333 0.312
Nd1 Nd 0.000 0.000 0.500
Fe1 Fe 0.333 0.667 0.161
Fe2 Fe 0.667 0.333 0.839
O1 O 0.821 0.179 0.690
O2 O 0.821 0.642 0.690
O3 O 0.358 0.179 0.690
O4 O 0.642 0.821 0.310
O5 O 0.179 0.358 0.310
O6 O 0.179 0.821 0.310
O7 O 0.500 0.000 0.000
O8 O 0.000 0.500 0.000
O9 O 0.500 0.500 0.000